The following is a DFT calculation (PBE-GGA) of a relaxed B7C5 crystal.

space group = Cm (8)
theoretical density = 2691 kg/m3
total magnetic moment = 0.000 μB/cell
E above lowest polymorph = 212.1 meV/atom
energy of formation = 376 meV/atom

Structure (POSCAR):
```
B7C5
1.0
4.090 -0.022 -2.039
3.258 2.472 -2.039
0.019 0.006 8.217
C B
5 7
direct
0.664 0.664 0.357
0.154 0.154 0.686
0.987 0.987 0.507
0.826 0.826 0.530
0.507 0.507 0.867
0.491 0.491 0.376
0.626 0.626 0.777
0.914 0.914 0.111
0.149 0.149 0.230
0.332 0.332 0.673
0.051 0.051 0.990
0.299 0.299 0.145
```

The following is a DFT calculation (PBE-GGA) of a relaxed BC crystal.

space group = Imm2 (44)
theoretical density = 2814 kg/m3
total magnetic moment = 0.000 μB/cell
E above lowest polymorph = 204.0 meV/atom
energy of formation = 355 meV/atom

Structure (POSCAR):
```
BC
1.0
-1.113 3.594 -5.400
2.033 4.717 -4.115
0.243 -5.428 3.713
B C
3 3
direct
0.014 0.014 0.000
0.904 0.404 0.500
0.244 0.744 0.500
0.334 0.334 0.000
0.594 0.094 0.500
0.661 0.661 0.000
```

The following is a DFT calculation (PBE-GGA) of a relaxed B7C5 crystal.

space group = Pmm2 (25)
theoretical density = 2782 kg/m3
total magnetic moment = 0.000 μB/cell
E above lowest polymorph = 223.8 meV/atom
energy of formation = 388 meV/atom

Structure (POSCAR):
```
B7C5
1.0
-0.771 1.663 -1.664
0.364 -1.599 -1.767
-12.739 -4.478 1.427
C B
5 7
direct
0.000 0.500 0.413
0.000 0.000 0.995
0.000 0.500 0.059
0.500 0.500 0.861
0.500 0.000 0.924
0.500 0.500 0.488
0.000 0.000 0.683
0.500 0.000 0.588
0.500 0.000 0.236
0.000 0.000 0.333
0.500 0.500 0.138
0.000 0.500 0.781
```

- Which value of theoretical density does entry 1 give?
  2691 kg/m3